A plane-wave DFT calculation with PBE-GGA was carried out for InFe2 after structural relaxation.

a = 3.349 Å, b = 3.349 Å, c = 4.451 Å
α = 90.00°, β = 90.00°, γ = 90.00°
Space group P4/mmm (No. 123)
Symmetry-distinct sites (fractional):
In 0.000 0.000 0.000 x1
Fe 0.000 0.500 0.500 x2

Results
The energy is -6.13 eV/atom.

---

A plane-wave DFT calculation with PBE-GGA was carried out for Sc2BeGaH after structural relaxation.

a = 4.522 Å, b = 4.522 Å, c = 3.406 Å
α = 90.00°, β = 90.00°, γ = 90.00°
Space group P4/mmm (No. 123)
Symmetry-distinct sites (fractional):
Sc 0.000 0.500 0.000 x2
Be 0.000 0.000 0.500 x1
Ga 0.500 0.500 0.500 x1
H 0.000 0.000 0.000 x1

Results
The energy is -4.89 eV/atom.

---

A plane-wave DFT calculation with PBE-GGA was carried out for LaTb6Zn2 after structural relaxation.

a = 12.570 Å, b = 3.663 Å, c = 11.872 Å
α = 90.00°, β = 108.69°, γ = 90.00°
Space group C2/m (No. 12)
Symmetry-distinct sites (fractional):
La 0.000 0.000 0.000 x2
Tb 0.023 0.000 0.333 x4
Tb 0.186 0.500 0.587 x4
Tb 0.191 0.500 0.873 x4
Zn 0.154 0.500 0.216 x4

Results
The energy is -4.06 eV/atom.

---

A plane-wave DFT calculation with PBE-GGA was carried out for KUTe3 after structural relaxation.

a = 5.896 Å, b = 5.896 Å, c = 5.896 Å
α = 90.00°, β = 90.00°, γ = 90.00°
Space group Pm-3m (No. 221)
Symmetry-distinct sites (fractional):
K 0.000 0.000 0.000 x1
U 0.500 0.500 0.500 x1
Te 0.000 0.500 0.500 x3

Results
The energy is -5.07 eV/atom. The value obtained for the polymorph energy (0 for the lowest one) is 5.5 meV/atom. The calculation puts the uncorrected formation energy at -342 kJ/mol of formula units.

---

A plane-wave DFT calculation with PBE-GGA was carried out for Nd6Co2Rh after structural relaxation.

a = 6.753 Å, b = 7.214 Å, c = 11.976 Å
α = 90.00°, β = 120.69°, γ = 90.00°
Space group P2_1/c (No. 14)
Symmetry-distinct sites (fractional):
Nd 0.080 0.070 0.251 x4
Nd 0.270 0.674 0.087 x4
Nd 0.409 0.181 0.070 x4
Co 0.321 0.106 0.780 x4
Rh 0.000 0.000 0.000 x2

Results
The energy is -5.72 eV/atom. The value obtained for the polymorph energy (0 for the lowest one) is 38.8 meV/atom.

---

A plane-wave DFT calculation with PBE-GGA was carried out for AcNb2F11 after structural relaxation.

a = 7.784 Å, b = 10.171 Å, c = 11.622 Å
α = 90.00°, β = 90.00°, γ = 90.00°
Space group Ibam (No. 72)
Symmetry-distinct sites (fractional):
Ac 0.000 0.000 0.250 x4
Nb 0.131 0.322 0.000 x8
F 0.000 0.500 0.000 x4
F 0.097 0.194 0.133 x16
F 0.135 0.280 0.500 x8
F 0.241 0.073 0.378 x16

Results
The energy is -6.48 eV/atom. The calculation puts the uncorrected formation energy at -4422 kJ/mol of formula units.

---

A plane-wave DFT calculation with PBE-GGA was carried out for La3Mn after structural relaxation.

a = 3.729 Å, b = 3.713 Å, c = 9.047 Å
α = 90.00°, β = 90.06°, γ = 90.00°
Space group P2/m (No. 10)
Symmetry-distinct sites (fractional):
La 0.000 0.000 0.000 x1
La 0.499 0.500 0.298 x2
Mn 0.000 0.000 0.500 x1

Results
The energy is -5.82 eV/atom.